Entry from Alexandria via LeMat-Bulk: an optimized crystal structure of LiCoP2 (PBE).

abc: 6.088 6.088 6.088
angles: 123.53 123.53 83.98
Atoms (fractional coordinates):
1 Li 0.000 0.000 0.000
2 Li 0.750 0.250 0.500
3 Co 0.250 0.750 0.500
4 Co 0.500 0.500 0.000
5 P 0.196 0.625 0.071
6 P 0.375 0.446 0.571
7 P 0.554 0.125 0.929
8 P 0.875 0.804 0.429

Computed properties:
* E_form: -0.07 eV/atom
* symmetry: I-42d, No. 122
* energy relative to the lowest polymorph listed for this composition: 1.302 eV/f.u.
* ρ: 2.83 g/cm3
* E: -5.03 eV per atom